# Ac3Pr3Tl2Hg PBE relaxed
data_Ac3Pr3Tl2Hg
_chemical_formula_sum 'Ac3 Pr3 Tl2 Hg1'
_cell_length_a 4.0133
_cell_length_b 9.5182
_cell_length_c 9.5182
_cell_angle_alpha 120.00
_cell_angle_beta 90.00
_cell_angle_gamma 90.00
_symmetry_space_group_name_H-M 'P 1'
_symmetry_Int_Tables_number 1
loop_
_symmetry_equiv_pos_as_xyz
'x,y,z'
loop_
_atom_site_label
_atom_site_fract_x
_atom_site_fract_y
_atom_site_fract_z
_atom_site_occupancy
Ac1 0.5000 0.7265 0.0000 1
Ac2 0.5000 0.2735 0.2735 1
Ac3 0.5000 0.0000 0.7265 1
Tl1 0.5000 0.6667 0.3333 1
Tl2 0.5000 0.3333 0.6667 1
Pr1 0.0000 0.6029 0.6029 1
Pr2 0.0000 0.3971 0.0000 1
Pr3 0.0000 0.0000 0.3971 1
Hg1 0.0000 0.0000 0.0000 1
# calculated volume	314.9	Å³ per cell
# DFT formation energy	-2.28	eV per formula unit

# Ac3Pr3TlHg2 PBE relaxed
data_Ac3Pr3TlHg2
_chemical_formula_sum 'Ac3 Pr3 Tl1 Hg2'
_cell_length_a 4.0625
_cell_length_b 9.4065
_cell_length_c 9.4065
_cell_angle_alpha 120.00
_cell_angle_beta 90.00
_cell_angle_gamma 90.00
_symmetry_space_group_name_H-M 'P 1'
_symmetry_Int_Tables_number 1
loop_
_symmetry_equiv_pos_as_xyz
'x,y,z'
loop_
_atom_site_label
_atom_site_fract_x
_atom_site_fract_y
_atom_site_fract_z
_atom_site_occupancy
Pr1 0.0000 0.3900 0.0000 1
Pr2 0.0000 0.0000 0.3900 1
Pr3 0.0000 0.6100 0.6100 1
Ac1 0.5000 0.0000 0.7142 1
Ac2 0.5000 0.7142 0.0000 1
Ac3 0.5000 0.2858 0.2858 1
Hg1 0.5000 0.6667 0.3333 1
Hg2 0.5000 0.3333 0.6667 1
Tl1 0.0000 0.0000 0.0000 1
# calculated volume	311.3	Å³ per cell
# DFT formation energy	-1.92	eV per formula unit

# AcPrTm2Hg4 PBE relaxed
data_AcPrTm2Hg4
_chemical_formula_sum 'Ac1 Pr1 Tm2 Hg4'
_cell_length_a 5.3975
_cell_length_b 5.3975
_cell_length_c 9.4713
_cell_angle_alpha 73.44
_cell_angle_beta 73.44
_cell_angle_gamma 60.00
_symmetry_space_group_name_H-M 'P 1'
_symmetry_Int_Tables_number 1
loop_
_symmetry_equiv_pos_as_xyz
'x,y,z'
loop_
_atom_site_label
_atom_site_fract_x
_atom_site_fract_y
_atom_site_fract_z
_atom_site_occupancy
Hg1 0.1270 0.1270 0.6190 1
Hg2 0.6205 0.6205 0.1385 1
Hg3 0.8730 0.8730 0.3810 1
Hg4 0.3795 0.3795 0.8615 1
Ac1 0.0000 0.0000 0.0000 1
Tm1 0.2471 0.2471 0.2588 1
Tm2 0.7529 0.7529 0.7412 1
Pr1 0.5000 0.5000 0.5000 1
# calculated volume	225.7	Å³ per cell
# DFT formation energy	-3.46	eV per formula unit

What are the energy values for these records? In order: -3.77 -3.51 -2.81 eV per atom.